Th2SiNi | GGA-PBE | relaxed

Cell lengths 3.8227, 3.8227, 26.4682 Å; angles 90.00, 90.00, 120.00 degrees
Space group R-3m (No. 166, hexagonal axes)
Inequivalent atoms, fractional coordinates:
Th (0.0000, 0.0000, 0.0971) (multiplicity 6)
Si (0.0000, 0.0000, 0.5000) (multiplicity 3)
Ni (0.0000, 0.0000, 0.0000) (multiplicity 3)

## Properties
Formation energy without anion corrections (meV per atom): 277
Crystal system: trigonal
Offset from the most stable computed form (meV/atom): 875.1
Density of states at the Fermi level (states/eV/f.u.): 2.44
E_tot (eV/f.u.): -24.937